Computed, not measured: a relaxed structure of K2VSbO4 at the GGA+U level of DFT.

Calculated values
raw total energy	-46.199	eV per cell

```
data_K2VSbO4
_cell_length_a 4.7767
_cell_length_b 6.0938
_cell_length_c 6.7997
_cell_angle_alpha 65.57
_cell_angle_beta 75.40
_cell_angle_gamma 89.13
_space_group_name_H-M_alt 'P 1'
_space_group_IT_number 1
_space_group_name_Hall 'P 1'
loop_
_atom_site_label
_atom_site_type_symbol
_atom_site_fract_x
_atom_site_fract_y
_atom_site_fract_z
_atom_site_occupancy
K1 K 0.0000 0.0000 0.0000 1
K2 K 0.3905 0.7834 0.5794 1
V1 V 0.5797 0.4477 0.0604 1
Sb1 Sb 0.9194 0.3883 0.4347 1
O1 O 0.2768 0.5848 0.1736 1
O2 O 0.4665 0.2867 0.9373 1
O3 O 0.7444 0.2284 0.2704 1
O4 O 0.8249 0.6771 0.8541 1
```

***

Computed, not measured: a relaxed structure of KV2SbO8 at the GGA+U level of DFT.

Calculated values
distance to the lowest polymorph of the same formula	10.7	meV per atom
raw total energy	-324.580	eV per cell

```
data_KV2SbO8
_cell_length_a 15.3983
_cell_length_b 5.6236
_cell_length_c 8.7782
_cell_angle_alpha 90.00
_cell_angle_beta 90.00
_cell_angle_gamma 90.00
_space_group_name_H-M_alt 'P n m a'
_space_group_IT_number 62
_space_group_name_Hall '-P 2ac 2n'
loop_
_atom_site_label
_atom_site_type_symbol
_atom_site_fract_x
_atom_site_fract_y
_atom_site_fract_z
_atom_site_occupancy
K1 K 0.1194 0.2500 0.0501 1
V1 V 0.0182 0.7500 0.2905 1
V2 V 0.2142 0.2500 0.4723 1
Sb1 Sb 0.1249 0.7500 0.6688 1
O1 O 0.0479 0.5024 0.7591 1
O2 O 0.0529 0.7500 0.4805 1
O3 O 0.0989 0.7500 0.1686 1
O4 O 0.1314 0.2500 0.3564 1
O5 O 0.1866 0.7500 0.8687 1
O6 O 0.2090 0.5095 0.5898 1
```

***

Computed, not measured: a relaxed structure of KV2SbO8 at the GGA+U level of DFT.

Calculated values
distance to the lowest polymorph of the same formula	0.0	meV per atom
raw total energy	-162.547	eV per cell

```
data_KV2SbO8
_cell_length_a 8.9883
_cell_length_b 5.7198
_cell_length_c 7.9183
_cell_angle_alpha 90.00
_cell_angle_beta 92.37
_cell_angle_gamma 90.00
_space_group_name_H-M_alt 'C 1 2/m 1'
_space_group_IT_number 12
_space_group_name_Hall '-C 2y'
loop_
_atom_site_label
_atom_site_type_symbol
_atom_site_fract_x
_atom_site_fract_y
_atom_site_fract_z
_atom_site_occupancy
K1 K 0.0000 0.0000 0.0000 1
V1 V 0.1345 0.5000 0.2970 1
Sb1 Sb 0.0000 0.0000 0.5000 1
O1 O 0.0241 0.2402 0.3204 1
O2 O 0.1939 0.5000 0.1037 1
O3 O 0.2194 0.0000 0.5497 1
```

***

Computed, not measured: a relaxed structure of K2VSbO6 at the GGA+U level of DFT.

Calculated values
raw total energy	-239.158	eV per cell

```
data_K2VSbO6
_cell_length_a 7.8800
_cell_length_b 7.8800
_cell_length_c 7.8800
_cell_angle_alpha 90.00
_cell_angle_beta 90.00
_cell_angle_gamma 90.00
_space_group_name_H-M_alt 'F m -3 m'
_space_group_IT_number 225
_space_group_name_Hall '-F 4 2 3'
loop_
_atom_site_label
_atom_site_type_symbol
_atom_site_fract_x
_atom_site_fract_y
_atom_site_fract_z
_atom_site_occupancy
K1 K 0.2500 0.2500 0.2500 1
V1 V 0.0000 0.0000 0.0000 1
Sb1 Sb 0.0000 0.0000 0.5000 1
O1 O 0.0000 0.0000 0.2441 1
```

***

Computed, not measured: a relaxed structure of KSbWO6 at the GGA+U level of DFT.

Calculated values
distance to the lowest polymorph of the same formula	0.0	meV per atom
raw total energy	-234.732	eV per cell

```
data_KSbWO6
_cell_length_a 7.2959
_cell_length_b 10.4179
_cell_length_c 7.4417
_cell_angle_alpha 90.00
_cell_angle_beta 90.00
_cell_angle_gamma 90.00
_space_group_name_H-M_alt 'I m a 2'
_space_group_IT_number 46
_space_group_name_Hall 'I 2 -2a'
loop_
_atom_site_label
_atom_site_type_symbol
_atom_site_fract_x
_atom_site_fract_y
_atom_site_fract_z
_atom_site_occupancy
K1 K 0.2500 0.1528 0.0000 1
Sb1 Sb 0.0000 0.0000 0.4179 1
W1 W 0.2500 0.7458 0.1792 1
O1 O 0.0601 0.6273 0.1097 1
O2 O 0.0613 0.6269 0.7242 1
O3 O 0.2500 0.0766 0.4107 1
O4 O 0.2500 0.6908 0.4207 1
```

***

Computed, not measured: a relaxed structure of KSb2WO8 at the GGA+U level of DFT.

Calculated values
raw total energy	-73.680	eV per cell

```
data_KSb2WO8
_cell_length_a 4.9517
_cell_length_b 6.6862
_cell_length_c 4.9572
_cell_angle_alpha 90.00
_cell_angle_beta 93.48
_cell_angle_gamma 90.00
_space_group_name_H-M_alt 'P 1 2/m 1'
_space_group_IT_number 10
_space_group_name_Hall '-P 2y'
loop_
_atom_site_label
_atom_site_type_symbol
_atom_site_fract_x
_atom_site_fract_y
_atom_site_fract_z
_atom_site_occupancy
K1 K 0.0000 0.0000 0.0000 1
Sb1 Sb 0.5000 0.2457 0.5000 1
W1 W 0.0000 0.5000 0.0000 1
O1 O 0.2027 0.2988 0.2016 1
O2 O 0.2895 0.5000 0.7095 1
O3 O 0.3301 0.0000 0.6673 1
```

***

Computed, not measured: a relaxed structure of KSbWO6 at the GGA+U level of DFT.

Calculated values
distance to the lowest polymorph of the same formula	48.5	meV per atom
raw total energy	-116.493	eV per cell

```
data_KSbWO6
_cell_length_a 5.3712
_cell_length_b 5.3712
_cell_length_c 11.9702
_cell_angle_alpha 90.00
_cell_angle_beta 90.00
_cell_angle_gamma 120.00
_space_group_name_H-M_alt 'P -3 1 c'
_space_group_IT_number 163
_space_group_name_Hall '-P 3 2c'
loop_
_atom_site_label
_atom_site_type_symbol
_atom_site_fract_x
_atom_site_fract_y
_atom_site_fract_z
_atom_site_occupancy
K1 K 0.0000 0.0000 0.0000 1
Sb1 Sb 0.3333 0.6667 0.2500 1
W1 W 0.3333 0.6667 0.7500 1
O1 O 0.0078 0.3968 0.6571 1
```

***

Computed, not measured: a relaxed structure of K2SbWO6 at the GGA+U level of DFT.

Calculated values
raw total energy	-121.586	eV per cell

```
data_K2SbWO6
_cell_length_a 8.2056
_cell_length_b 8.2152
_cell_length_c 5.8027
_cell_angle_alpha 90.00
_cell_angle_beta 134.96
_cell_angle_gamma 90.00
_space_group_name_H-M_alt 'C 1 2/m 1'
_space_group_IT_number 12
_space_group_name_Hall '-C 2y'
loop_
_atom_site_label
_atom_site_type_symbol
_atom_site_fract_x
_atom_site_fract_y
_atom_site_fract_z
_atom_site_occupancy
K1 K 0.0000 0.2500 0.0000 1
Sb1 Sb 0.0000 0.0000 0.5000 1
W1 W 0.0000 0.5000 0.5000 1
O1 O 0.0000 0.2617 0.5000 1
O2 O 0.2382 0.5000 0.9771 1
O3 O 0.2387 0.5000 0.4994 1
```